No. 1
Ta3FePt: relaxed, PBE-GGA.

Structure (CIF):
```
data_Ta3FePt
_chemical_formula_sum 'Ta3 Fe1 Pt1'
_cell_length_a 4.8277
_cell_length_b 4.8277
_cell_length_c 4.8277
_cell_angle_alpha 90.00
_cell_angle_beta 90.00
_cell_angle_gamma 90.00
_symmetry_space_group_name_H-M 'P m -3 m'
_symmetry_Int_Tables_number 221
_symmetry_space_group_name_Hall '-P 4 2 3'
loop_
_atom_site_label
_atom_site_type_symbol
_atom_site_fract_x
_atom_site_fract_y
_atom_site_fract_z
_atom_site_occupancy
Ta1 Ta 0.0000 0.0000 0.5000 1
Fe1 Fe 0.5000 0.5000 0.5000 1
Pt1 Pt 0.0000 0.0000 0.0000 1
```

Computed properties:
- N(E_F) (states/eV/f.u.) = 9.79

No. 2
BaSn3Pd: relaxed, PBE-GGA.

Structure (CIF):
```
data_BaSn3Pd
_chemical_formula_sum 'Ba1 Sn3 Pd1'
_cell_length_a 5.3685
_cell_length_b 5.3685
_cell_length_c 5.3685
_cell_angle_alpha 90.00
_cell_angle_beta 90.00
_cell_angle_gamma 90.00
_symmetry_space_group_name_H-M 'P m -3 m'
_symmetry_Int_Tables_number 221
_symmetry_space_group_name_Hall '-P 4 2 3'
loop_
_atom_site_label
_atom_site_type_symbol
_atom_site_fract_x
_atom_site_fract_y
_atom_site_fract_z
_atom_site_occupancy
Ba1 Ba 0.0000 0.0000 0.0000 1
Sn1 Sn 0.0000 0.5000 0.5000 1
Pd1 Pd 0.5000 0.5000 0.5000 1
```

Computed properties:
- N(E_F) (states/eV/f.u.) = 1.18

Listing total energy for the structures above in their given order: -41.5, -20.6 eV per formula unit.
Listing formation enthalpy at 0 K for the structures above in their given order: 1.707, -0.293 eV per atom.